DFT (PBE) results for crystalline Ni2BH2 at its relaxed geometry.

The calculation puts the uncorrected energy at -4.863 eV per atom. The calculation puts the density of states at the Fermi level at 0.307 states/eV/atom. The value obtained for the total magnetic moment is 0.0 μB per cell. The density comes out at 6.7 g/cm3.

The space group is I4/mmm (No. 139) and the conventional cell measures 2.585, 2.585 and 9.680 Å, with angles of 90.00, 90.00 and 90.00 degrees. The distinct sites, in fractional coordinates, are Ni at (0.000, 0.000, 0.127), B at (0.000, 0.000, 0.500) and H at (0.000, 0.500, 0.250).